Here is a relaxed LaEr2Th crystal from the Alexandria database. Energies are from PBE.

Calculated values
Its formation enthalpy at 0 K is 8.5 kJ/mol of formula units. For the density of states at the Fermi level, the calculation gives 5.97 states/eV/f.u. The value obtained for the energy relative to the lowest polymorph listed for this composition is 0.019 eV per atom. For the mass density, the calculation gives 9.019 g/cm3.

```
data_LaEr2Th
_chemical_formula_sum 'La3 Er6 Th3'
_symmetry_space_group_name_H-M 'R 3 m'
_symmetry_Int_Tables_number 160
_symmetry_space_group_name_Hall 'R 3 -2"'
_cell_length_a 3.5925
_cell_length_b 3.5925
_cell_length_c 34.8631
_cell_angle_alpha 90.00
_cell_angle_beta 90.00
_cell_angle_gamma 120.00
loop_
_atom_site_label
_atom_site_type_symbol
_atom_site_fract_x
_atom_site_fract_y
_atom_site_fract_z
_atom_site_occupancy
La1 La 0.0000 0.0000 0.0000 1
Er1 Er 0.0000 0.0000 0.2470 1
Er2 Er 0.0000 0.0000 0.4210 1
Th1 Th 0.0000 0.0000 0.8341 1
```